La2BeWO | GGA+U | optimized geometry

```
data_La2BeWO
_cell_length_a 5.1919
_cell_length_b 4.0058
_cell_length_c 5.1919
_cell_angle_alpha 90.00
_cell_angle_beta 90.00
_cell_angle_gamma 90.00
_space_group_name_H-M_alt 'P 1'
_space_group_IT_number 1
loop_
_space_group_symop_operation_xyz
'x,y,z'
loop_
_atom_site_label
_atom_site_fract_x
_atom_site_fract_y
_atom_site_fract_z
Be1 0.5000 0.5000 0.5000
O1 0.0000 0.0000 0.0000
W1 0.0000 0.5000 0.0000
La1 0.0000 0.0000 0.5000
La2 0.5000 0.0000 0.0000
```

Summary:
DOS at the Fermi energy = 0.60 states/eV/atom
calculated volume = 108 Å³ per cell
energy = -27.7 eV per cell